Entry 1:
Compound: YHfSc2
Source: Alexandria
Functional: GGA-PBE
Structure: relaxed

a = 3.3165 Å, b = 3.3165 Å, c = 10.8661 Å
α = 81.22°, β = 81.22°, γ = 60.00°
With the nearest neighbours (Å) after each atom.
Fractional coordinates of all 4 atoms:
Y 0.5008 0.5008 0.4977  6 Y 3.32, 6 Sc 3.41-3.46
Hf 0.6661 0.6661 0.0016  6 Sc 3.13-3.15, 6 Hf 3.32
Sc 0.0776 0.0776 0.7673  3 Hf 3.15, 6 Sc 3.32, 3 Y 3.46
Sc 0.2555 0.2555 0.2334  3 Hf 3.13, 6 Sc 3.32, 3 Y 3.41

Properties
ΔE_f, meV per atom: 75.7
D(E_F), states/eV per cell: 7.02
Volume, Å³/f.u.: 101.9
Excess energy over the best structure of this formula in the dataset, meV per atom: 26



Entry 2:
Compound: RbBa2Na2
Source: Alexandria
Functional: GGA-PBE
Structure: relaxed

a = 10.7893 Å, b = 10.7893 Å, c = 4.9954 Å
α = 90.00°, β = 90.00°, γ = 90.00°
With the nearest neighbours (Å) after each atom.
Fractional coordinates of all 10 atoms:
Na 0.3745 0.8745 0.0000  1 Na 3.83, 6 Ba 4.02-4.07, 2 Rb 4.26
Na 0.8745 0.6255 0.0000  1 Na 3.83, 6 Ba 4.02-4.07, 2 Rb 4.26
Na 0.6255 0.1255 0.0000  1 Na 3.83, 6 Ba 4.02-4.07, 2 Rb 4.26
Na 0.1255 0.3745 0.0000  1 Na 3.83, 6 Ba 4.02-4.07, 2 Rb 4.26
Ba 0.1642 0.6642 0.5000  6 Na 4.02-4.07
Ba 0.6642 0.8358 0.5000  6 Na 4.02-4.07
Ba 0.8358 0.3358 0.5000  6 Na 4.02-4.07
Ba 0.3358 0.1642 0.5000  6 Na 4.02-4.07
Rb 0.0000 0.0000 0.0000  4 Na 4.26, 8 Ba 4.74
Rb 0.5000 0.5000 0.0000  4 Na 4.26, 8 Ba 4.74

Properties
ΔE_f, meV per atom: 63.1
D(E_F), states/eV per cell: 12.35
Volume, Å³/f.u.: 290.8
Excess energy over the best structure of this formula in the dataset, meV per atom: 0



Number 1 is which compound?
YHfSc2



Copy entry 2 word for word.
Compound: RbBa2Na2
Source: Alexandria
Functional: GGA-PBE
Structure: relaxed

a = 10.7893 Å, b = 10.7893 Å, c = 4.9954 Å
α = 90.00°, β = 90.00°, γ = 90.00°
With the nearest neighbours (Å) after each atom.
Fractional coordinates of all 10 atoms:
Na 0.3745 0.8745 0.0000  1 Na 3.83, 6 Ba 4.02-4.07, 2 Rb 4.26
Na 0.8745 0.6255 0.0000  1 Na 3.83, 6 Ba 4.02-4.07, 2 Rb 4.26
Na 0.6255 0.1255 0.0000  1 Na 3.83, 6 Ba 4.02-4.07, 2 Rb 4.26
Na 0.1255 0.3745 0.0000  1 Na 3.83, 6 Ba 4.02-4.07, 2 Rb 4.26
Ba 0.1642 0.6642 0.5000  6 Na 4.02-4.07
Ba 0.6642 0.8358 0.5000  6 Na 4.02-4.07
Ba 0.8358 0.3358 0.5000  6 Na 4.02-4.07
Ba 0.3358 0.1642 0.5000  6 Na 4.02-4.07
Rb 0.0000 0.0000 0.0000  4 Na 4.26, 8 Ba 4.74
Rb 0.5000 0.5000 0.0000  4 Na 4.26, 8 Ba 4.74

Properties
ΔE_f, meV per atom: 63.1
D(E_F), states/eV per cell: 12.35
Volume, Å³/f.u.: 290.8
Excess energy over the best structure of this formula in the dataset, meV per atom: 0



What did the second record say?
Compound: RbBa2Na2
Source: Alexandria
Functional: GGA-PBE
Structure: relaxed

a = 10.7893 Å, b = 10.7893 Å, c = 4.9954 Å
α = 90.00°, β = 90.00°, γ = 90.00°
With the nearest neighbours (Å) after each atom.
Fractional coordinates of all 10 atoms:
Na 0.3745 0.8745 0.0000  1 Na 3.83, 6 Ba 4.02-4.07, 2 Rb 4.26
Na 0.8745 0.6255 0.0000  1 Na 3.83, 6 Ba 4.02-4.07, 2 Rb 4.26
Na 0.6255 0.1255 0.0000  1 Na 3.83, 6 Ba 4.02-4.07, 2 Rb 4.26
Na 0.1255 0.3745 0.0000  1 Na 3.83, 6 Ba 4.02-4.07, 2 Rb 4.26
Ba 0.1642 0.6642 0.5000  6 Na 4.02-4.07
Ba 0.6642 0.8358 0.5000  6 Na 4.02-4.07
Ba 0.8358 0.3358 0.5000  6 Na 4.02-4.07
Ba 0.3358 0.1642 0.5000  6 Na 4.02-4.07
Rb 0.0000 0.0000 0.0000  4 Na 4.26, 8 Ba 4.74
Rb 0.5000 0.5000 0.0000  4 Na 4.26, 8 Ba 4.74

Properties
ΔE_f, meV per atom: 63.1
D(E_F), states/eV per cell: 12.35
Volume, Å³/f.u.: 290.8
Excess energy over the best structure of this formula in the dataset, meV per atom: 0